A plane-wave DFT calculation with PBE-GGA was carried out for a relaxed SbPW crystal.

Structure (POSCAR):
```
SbPW
1.0
1.064 2.859 1.328
-3.262 -0.577 -0.310
-0.075 -2.495 5.433
Sb P W
1 1 1
Direct
0.333 0.667 0.353
0.000 0.000 0.947
0.667 0.333 0.699
```

Its space group is P3m1 (156). For the energy above the lowest structure with this stoichiometry, the calculation gives 0.0000 eV/atom. The calculation puts the raw formation energy at 0.32 eV per formula unit. Its density is 9.7 g/cm³.